1.
# PBE SrZrMo, optimized geometry
# crystal system	cubic
# excess energy over the best structure of this formula in the dataset	878	meV per atom
# formation enthalpy at 0 K	1.151	eV/atom
# density of states at the Fermi level	0.74	states/eV/atom
# E	-5.869	eV/atom
data_SrZrMo
_chemical_formula_sum 'Sr4 Zr4 Mo4'
_cell_length_a 6.8616
_cell_length_b 6.8616
_cell_length_c 6.8616
_cell_angle_alpha 90.00
_cell_angle_beta 90.00
_cell_angle_gamma 90.00
_space_group_name_H-M_alt 'F -4 3 m'
_space_group_IT_number 216
_space_group_name_Hall 'F -4 2 3'
loop_
_atom_site_label
_atom_site_fract_x
_atom_site_fract_y
_atom_site_fract_z
Sr1 0.0000 0.0000 0.0000
Zr1 0.0000 0.0000 0.5000
Mo1 0.2500 0.2500 0.7500

***

2.
# PBE SrZrMo2, optimized geometry
# crystal system	monoclinic
# excess energy over the best structure of this formula in the dataset	259	meV per atom
# formation enthalpy at 0 K	0.658	eV/atom
# density of states at the Fermi level	1.05	states/eV/atom
# E	-7.315	eV/atom
data_SrZrMo2
_chemical_formula_sum 'Sr2 Zr2 Mo4'
_cell_length_a 9.9036
_cell_length_b 3.3485
_cell_length_c 6.4501
_cell_angle_alpha 90.00
_cell_angle_beta 95.86
_cell_angle_gamma 90.00
_space_group_name_H-M_alt 'C 1 2/m 1'
_space_group_IT_number 12
loop_
_space_group_symop_operation_xyz
'x,y,z'
'-x,-y,-z'
'-x,y,-z'
'x,-y,z'
'x+1/2,y+1/2,z'
'-x+1/2,-y+1/2,-z'
'-x+1/2,y+1/2,-z'
'x+1/2,-y+1/2,z'
loop_
_atom_site_label
_atom_site_fract_x
_atom_site_fract_y
_atom_site_fract_z
Sr1 0.0000 0.0000 0.0000
Zr1 0.0000 0.5000 0.5000
Mo1 0.2437 0.0000 0.6370

***

3.
# PBE SrZrMo, optimized geometry
# crystal system	monoclinic
# excess energy over the best structure of this formula in the dataset	221	meV per atom
# formation enthalpy at 0 K	0.494	eV/atom
# density of states at the Fermi level	0.88	states/eV/atom
# E	-6.526	eV/atom
data_SrZrMo
_chemical_formula_sum 'Sr2 Zr2 Mo2'
_cell_length_a 5.6684
_cell_length_b 4.4094
_cell_length_c 7.1532
_cell_angle_alpha 90.00
_cell_angle_beta 91.93
_cell_angle_gamma 90.00
_space_group_name_H-M_alt 'P 1 m 1'
_space_group_IT_number 6
loop_
_space_group_symop_operation_xyz
'x,y,z'
'x,-y,z'
loop_
_atom_site_label
_atom_site_fract_x
_atom_site_fract_y
_atom_site_fract_z
Sr1 0.0000 0.0000 0.0000
Sr2 0.4989 0.5000 0.7388
Zr1 0.0460 0.0000 0.4954
Zr2 0.5298 0.0000 0.2965
Mo1 0.2475 0.5000 0.2911
Mo2 0.8171 0.5000 0.3435